A relaxed Y4CdS2 crystal. Source: the Alexandria database, functional PBE.

abc: 3.9790 6.7925 13.6495
angles: 90.00 90.00 107.03
Fractional positions:
S 0.8656 0.7313 0.5586
S 0.8656 0.7313 0.9414
S 0.1344 0.2687 0.0586
S 0.1344 0.2687 0.4414
Y 0.0703 0.1405 0.2500
Y 0.7663 0.5326 0.3841
Y 0.2337 0.4674 0.8841
Y 0.9297 0.8595 0.7500
Y 0.2337 0.4674 0.6159
Y 0.5000 0.0000 0.5000
Y 0.5000 0.0000 0.0000
Y 0.7663 0.5326 0.1159
Cd 0.6110 0.2219 0.7500
Cd 0.3890 0.7781 0.2500

Raw total energy in Ry/atom: -0.4611
Space-group type: Cmcm, No. 63
Crystal system: orthorhombic
Formation energy (no corrections) in eV/atom: -1.270
V in Å³/cell: 353


A relaxed Y2CdS crystal. Source: the Alexandria database, functional PBE.

abc: 3.8481 3.8481 8.1022
angles: 76.26 76.26 60.00
Fractional positions:
S 0.0000 0.0000 0.0000
Cd 0.5000 0.5000 0.5000
Y 0.7353 0.7353 0.7942
Y 0.2647 0.2647 0.2058

Energy relative to the lowest polymorph listed for this composition in meV per atom: 0
Raw total energy in Ry/atom: -0.4131
Space-group type: R-3m, No. 166
Crystal system: trigonal
Formation energy (no corrections) in eV/atom: -1.127
V in Å³/cell: 100


A relaxed Y6CdS4 crystal. Source: the Alexandria database, functional PBE.

abc: 3.9536 6.8236 20.1787
angles: 90.00 90.00 106.84
Fractional positions:
S 0.4060 0.8120 0.1214
S 0.8625 0.7250 0.9607
S 0.1375 0.2750 0.0393
S 0.5940 0.1880 0.6214
S 0.4060 0.8120 0.3786
S 0.1375 0.2750 0.4607
S 0.5940 0.1880 0.8786
S 0.8625 0.7250 0.5393
Y 0.5000 0.0000 0.5000
Y 0.9609 0.9219 0.6585
Y 0.9609 0.9219 0.8415
Y 0.0391 0.0781 0.3415
Y 0.2286 0.4573 0.5842
Y 0.7714 0.5427 0.0842
Y 0.5000 0.0000 0.0000
Y 0.7714 0.5427 0.4158
Y 0.3420 0.6839 0.2500
Y 0.2286 0.4573 0.9158
Y 0.6580 0.3161 0.7500
Y 0.0391 0.0781 0.1585
Cd 0.3400 0.6799 0.7500
Cd 0.6600 0.3201 0.2500

Raw total energy in Ry/atom: -0.4894
Space-group type: Cmcm, No. 63
Crystal system: orthorhombic
Formation energy (no corrections) in eV/atom: -1.549
V in Å³/cell: 521


A relaxed Y2CdS crystal. Source: the Alexandria database, functional PBE.

abc: 4.2901 3.9208 11.7479
angles: 99.61 90.00 90.00
Fractional positions:
Y 0.2500 0.0796 0.1592
Y 0.2500 0.3124 0.6249
Y 0.7500 0.6876 0.3751
Y 0.7500 0.9204 0.8408
S 0.7500 0.8043 0.6086
S 0.2500 0.1957 0.3914
Cd 0.7500 0.5413 0.0826
Cd 0.2500 0.4587 0.9174

Energy relative to the lowest polymorph listed for this composition in meV per atom: 9
Raw total energy in Ry/atom: -0.4124
Space-group type: Cmcm, No. 63
Crystal system: orthorhombic
Formation energy (no corrections) in eV/atom: -1.118
V in Å³/cell: 195


A relaxed Y3CdS crystal. Source: the Alexandria database, functional PBE.

abc: 5.1899 5.1899 5.1899
angles: 90.00 90.00 90.00
Fractional positions:
Cd 0.5000 0.5000 0.5000
S 0.0000 0.0000 0.0000
Y 0.5000 0.0000 0.0000
Y 0.0000 0.5000 0.0000
Y 0.0000 0.0000 0.5000

Energy relative to the lowest polymorph listed for this composition in meV per atom: 137
Raw total energy in Ry/atom: -0.4185
Space-group type: Pm-3m, No. 221
Crystal system: cubic
Formation energy (no corrections) in eV/atom: -0.808
V in Å³/cell: 140


A relaxed Y6CdS3 crystal. Source: the Alexandria database, functional PBE.

abc: 3.8709 11.6522 11.7364
angles: 108.39 90.00 90.00
Fractional positions:
S 0.7500 0.6650 0.4871
S 0.2500 0.8523 0.9238
S 0.2500 0.3350 0.5129
S 0.2500 0.5491 0.1490
S 0.7500 0.1477 0.0762
S 0.7500 0.4509 0.8510
Y 0.7500 0.1474 0.4713
Y 0.2500 0.0781 0.9093
Y 0.2500 0.2882 0.7467
Y 0.2500 0.2029 0.2444
Y 0.2500 0.8526 0.5287
Y 0.7500 0.7971 0.7556
Y 0.7500 0.4973 0.6343
Y 0.2500 0.6235 0.9422
Y 0.7500 0.3765 0.0578
Y 0.7500 0.7118 0.2533
Y 0.7500 0.9219 0.0907
Y 0.2500 0.5027 0.3657
Cd 0.2500 0.9459 0.3070
Cd 0.7500 0.0541 0.6930

Raw total energy in Ry/atom: -0.4704
Space-group type: P2_1/m, No. 11
Crystal system: monoclinic
Formation energy (no corrections) in eV/atom: -1.191
V in Å³/cell: 502


A relaxed Y2ZnCdS crystal. Source: the Alexandria database, functional PBE.

abc: 5.4160 4.7394 5.4160
angles: 90.00 90.00 90.00
Fractional positions:
Y 0.5000 0.0000 0.0000
Y 0.0000 0.0000 0.5000
Cd 0.0000 0.5000 0.0000
S 0.5000 0.5000 0.5000
Zn 0.0000 0.0000 0.0000

Raw total energy in Ry/atom: -0.2884
Space-group type: P4/mmm, No. 123
Crystal system: tetragonal
Formation energy (no corrections) in eV/atom: -0.075
V in Å³/cell: 139


A relaxed Yb2CdS4 crystal. Source: the Alexandria database, functional PBE.

abc: 7.9367 7.9367 7.9367
angles: 60.00 60.00 60.00
Fractional positions:
S 0.8682 0.8682 0.3954
S 0.8546 0.3818 0.3818
S 0.3818 0.3818 0.8546
S 0.8682 0.8682 0.8682
S 0.3954 0.8682 0.8682
S 0.3818 0.8546 0.3818
S 0.3818 0.3818 0.3818
S 0.8682 0.3954 0.8682
Yb 0.6250 0.6250 0.6250
Yb 0.6250 0.1250 0.6250
Yb 0.1250 0.6250 0.6250
Yb 0.6250 0.6250 0.1250
Cd 0.2500 0.2500 0.2500
Cd 0.0000 0.0000 0.0000

Raw total energy in Ry/atom: -0.3108
Space-group type: Fd-3m, No. 227
Crystal system: cubic
Formation energy (no corrections) in eV/atom: -1.304
V in Å³/cell: 354


A relaxed ZnCdS2 crystal. Source: the Alexandria database, functional PBE.

abc: 7.3184 7.3184 7.3184
angles: 33.06 33.06 33.06
Fractional positions:
Zn 0.0000 0.0000 0.0000
S 0.8968 0.8968 0.8968
S 0.1032 0.1032 0.1032
Cd 0.5000 0.5000 0.5000

Raw total energy in Ry/atom: -0.2227
Space-group type: R-3m, No. 166
Crystal system: trigonal
Formation energy (no corrections) in eV/atom: -0.418
V in Å³/cell: 104


A relaxed Zn3CdS4 crystal. Source: the Alexandria database, functional PBE.

abc: 5.5653 5.5653 5.5653
angles: 90.00 90.00 90.00
Fractional positions:
S 0.2624 0.2624 0.2624
S 0.7376 0.2624 0.7376
S 0.7376 0.7376 0.2624
S 0.2624 0.7376 0.7376
Cd 0.0000 0.0000 0.0000
Zn 0.5000 0.5000 0.0000
Zn 0.5000 0.0000 0.5000
Zn 0.0000 0.5000 0.5000

Raw total energy in Ry/atom: -0.2503
Space-group type: P-43m, No. 215
Crystal system: cubic
Formation energy (no corrections) in eV/atom: -0.750
V in Å³/cell: 172


A relaxed ZnCdS2 crystal. Source: the Alexandria database, functional PBE.

abc: 3.9951 6.9429 7.0019
angles: 99.27 90.02 106.69
Fractional positions:
S 0.3916 0.7241 0.8511
S 0.8998 0.7419 0.3194
S 0.1353 0.2102 0.0599
S 0.6578 0.2566 0.6051
Zn 0.9546 0.8500 0.0168
Zn 0.2110 0.3630 0.7784
Cd 0.7065 0.3526 0.2658
Cd 0.4618 0.8662 0.5326

Raw total energy in Ry/atom: -0.2441
Space-group type: Cm, No. 8
Crystal system: monoclinic
Formation energy (no corrections) in eV/atom: -0.710
V in Å³/cell: 183


A relaxed ZnCd3S4 crystal. Source: the Alexandria database, functional PBE.

abc: 5.8031 5.8031 5.8031
angles: 90.00 90.00 90.00
Fractional positions:
Cd 0.5000 0.0000 0.5000
Cd 0.0000 0.5000 0.5000
Cd 0.5000 0.5000 0.0000
Zn 0.0000 0.0000 0.0000
S 0.7633 0.7633 0.2367
S 0.2367 0.2367 0.2367
S 0.2367 0.7633 0.7633
S 0.7633 0.2367 0.7633

Raw total energy in Ry/atom: -0.2379
Space-group type: P-43m, No. 215
Crystal system: cubic
Formation energy (no corrections) in eV/atom: -0.670
V in Å³/cell: 195